No. 1
# Pm3In7Pt4 (PBE, optimized geometry)
# M_tot	0.000	μB per formula unit
# DFT formation energy	-0.716	eV per atom
data_Pm3In7Pt4
_chemical_formula_sum 'Pm6 In14 Pt8'
_space_group_name_H-M_alt 'C 1 2/m 1'
_space_group_IT_number 12
_cell_length_a 16.8927
_cell_length_b 4.4567
_cell_length_c 10.3454
_cell_angle_alpha 90.00
_cell_angle_beta 124.86
_cell_angle_gamma 90.00
loop_
_space_group_symop_operation_xyz
'x,y,z'
'-x,-y,-z'
'-x,y,-z'
'x,-y,z'
'x+1/2,y+1/2,z'
'-x+1/2,-y+1/2,-z'
'-x+1/2,y+1/2,-z'
'x+1/2,-y+1/2,z'
loop_
_atom_site_label
_atom_site_type_symbol
_atom_site_fract_x
_atom_site_fract_y
_atom_site_fract_z
Pm1 Pm 0.0000 0.0000 0.0000
Pm2 Pm 0.1935 0.5000 0.7030
In1 In 0.0000 0.0000 0.5000
In2 In 0.0074 0.5000 0.2904
In3 In 0.1629 0.0000 0.4295
In4 In 0.1826 0.5000 0.0272
Pt1 Pt 0.1176 0.0000 0.8369
Pt2 Pt 0.1605 0.5000 0.2653

---

No. 2
# Pm3InPt3 (PBE, optimized geometry)
# M_tot	0.000	μB per formula unit
# DFT formation energy	-0.821	eV per atom
data_Pm3InPt3
_chemical_formula_sum 'Pm6 In2 Pt6'
_space_group_name_H-M_alt 'P 63/m'
_space_group_IT_number 176
_space_group_name_Hall '-P 6c'
_cell_length_a 8.9170
_cell_length_b 8.9170
_cell_length_c 5.7416
_cell_angle_alpha 90.00
_cell_angle_beta 90.00
_cell_angle_gamma 120.00
loop_
_atom_site_label
_atom_site_type_symbol
_atom_site_fract_x
_atom_site_fract_y
_atom_site_fract_z
Pm1 Pm 0.0323 0.3329 0.2500
In1 In 0.3333 0.6667 0.7500
Pt1 Pt 0.0300 0.3611 0.7500

---

No. 3
# Pm2In3Pt2 (PBE, optimized geometry)
# M_tot	0.000	μB per formula unit
# DFT formation energy	-0.744	eV per atom
data_Pm2In3Pt2
_chemical_formula_sum 'Pm4 In6 Pt4'
_space_group_name_H-M_alt 'C 1 2/m 1'
_space_group_IT_number 12
_cell_length_a 10.6890
_cell_length_b 4.2313
_cell_length_c 7.4864
_cell_angle_alpha 90.00
_cell_angle_beta 95.87
_cell_angle_gamma 90.00
loop_
_space_group_symop_operation_xyz
'x,y,z'
'-x,-y,-z'
'-x,y,-z'
'x,-y,z'
'x+1/2,y+1/2,z'
'-x+1/2,-y+1/2,-z'
'-x+1/2,y+1/2,-z'
'x+1/2,-y+1/2,z'
loop_
_atom_site_label
_atom_site_type_symbol
_atom_site_fract_x
_atom_site_fract_y
_atom_site_fract_z
Pm1 Pm 0.1225 0.0000 0.3531
In1 In 0.0000 0.5000 0.0000
In2 In 0.1917 0.0000 0.8596
Pt1 Pt 0.0938 0.5000 0.6407

---

No. 4
# Pm11In9Pt4 (PBE, optimized geometry)
# M_tot	0.000	μB per formula unit
# DFT formation energy	-0.766	eV per atom
data_Pm11In9Pt4
_chemical_formula_sum 'Pm22 In18 Pt8'
_space_group_name_H-M_alt 'C m m m'
_space_group_IT_number 65
_space_group_name_Hall '-C 2 2'
_cell_length_a 14.9373
_cell_length_b 22.4243
_cell_length_c 3.7997
_cell_angle_alpha 90.00
_cell_angle_beta 90.00
_cell_angle_gamma 90.00
loop_
_atom_site_label
_atom_site_type_symbol
_atom_site_fract_x
_atom_site_fract_y
_atom_site_fract_z
Pm1 Pm 0.0000 0.0000 0.0000
Pm2 Pm 0.0000 0.1617 0.0000
Pm3 Pm 0.0000 0.3732 0.0000
Pm4 Pm 0.1903 0.5000 0.0000
Pm5 Pm 0.2438 0.1705 0.0000
In1 In 0.0000 0.5000 0.5000
In2 In 0.1036 0.2630 0.5000
In3 In 0.1450 0.0709 0.5000
Pt1 Pt 0.1531 0.3987 0.5000

---

no.,E (eV per atom)
1,-4.829
2,-5.837
3,-5.001
4,-4.977